Entry 1:
# GGA-PBE RbNdAs2O6, relaxed
# - total magnetic moment (μB per atom) = 0.202
# - density of states at the Fermi level (states/eV/f.u.) = 0.51
# - raw formation energy (meV per atom) = -1747.6
# - E (eV/atom) = -6.2260
# - SG = R-3 (148)
data_RbNdAs2O6
_space_group_name_H-M_alt 'P 1'
_space_group_IT_number 1
_cell_length_a 5.9703
_cell_length_b 5.9703
_cell_length_c 7.1336
_cell_angle_alpha 65.26
_cell_angle_beta 65.26
_cell_angle_gamma 60.00
loop_
_space_group_symop_operation_xyz
'x,y,z'
loop_
_atom_site_label
_atom_site_type_symbol
_atom_site_fract_x
_atom_site_fract_y
_atom_site_fract_z
_atom_site_occupancy
Rb1 Rb 0.0000 0.0000 0.0000 1
Nd1 Nd 0.5000 0.5000 0.5000 1
As1 As 0.7333 0.7333 0.8000 1
As2 As 0.2667 0.2667 0.2000 1
O1 O 0.0638 0.5208 0.7156 1
O2 O 0.6998 0.0638 0.7156 1
O3 O 0.4792 0.3002 0.2844 1
O4 O 0.9362 0.4792 0.2844 1
O5 O 0.3002 0.9362 0.2844 1
O6 O 0.5208 0.6998 0.7156 1

Entry 2:
# GGA-PBE NdAs2RuO8, relaxed
# - total magnetic moment (μB per atom) = 0.084
# - density of states at the Fermi level (states/eV/f.u.) = 5.32
# - raw formation energy (meV per atom) = -1479.0
# - E (eV/atom) = -6.7297
# - SG = P-3m1 (164)
data_NdAs2RuO8
_space_group_name_H-M_alt 'P 1'
_space_group_IT_number 1
_cell_length_a 5.4689
_cell_length_b 5.4689
_cell_length_c 6.8180
_cell_angle_alpha 90.00
_cell_angle_beta 90.00
_cell_angle_gamma 120.00
loop_
_space_group_symop_operation_xyz
'x,y,z'
loop_
_atom_site_label
_atom_site_type_symbol
_atom_site_fract_x
_atom_site_fract_y
_atom_site_fract_z
_atom_site_occupancy
Nd1 Nd 0.0000 0.0000 0.5000 1
As1 As 0.6667 0.3333 0.2696 1
As2 As 0.3333 0.6667 0.7304 1
Ru1 Ru 0.0000 0.0000 0.0000 1
O1 O 0.8431 0.1569 0.2054 1
O2 O 0.8431 0.6863 0.2054 1
O3 O 0.3137 0.1569 0.2054 1
O4 O 0.6863 0.8431 0.7946 1
O5 O 0.3333 0.6667 0.4822 1
O6 O 0.6667 0.3333 0.5178 1
O7 O 0.1569 0.8431 0.7946 1
O8 O 0.1569 0.3137 0.7946 1

Entry 3:
# GGA-PBE NdSbAsO, relaxed
# - total magnetic moment (μB per atom) = 0.000
# - density of states at the Fermi level (states/eV/f.u.) = 2.85
# - raw formation energy (meV per atom) = -1360.7
# - E (eV/atom) = -5.9852
# - SG = P4/nmm (129)
data_NdSbAsO
_space_group_name_H-M_alt 'P 1'
_space_group_IT_number 1
_cell_length_a 4.1640
_cell_length_b 4.1640
_cell_length_c 10.6061
_cell_angle_alpha 90.00
_cell_angle_beta 90.00
_cell_angle_gamma 90.00
loop_
_space_group_symop_operation_xyz
'x,y,z'
loop_
_atom_site_label
_atom_site_type_symbol
_atom_site_fract_x
_atom_site_fract_y
_atom_site_fract_z
_atom_site_occupancy
Nd1 Nd 0.0000 0.5000 0.8938 1
Nd2 Nd 0.5000 0.0000 0.1062 1
Sb1 Sb 0.0000 0.0000 0.5000 1
Sb2 Sb 0.5000 0.5000 0.5000 1
As1 As 0.5000 0.0000 0.7237 1
As2 As 0.0000 0.5000 0.2763 1
O1 O 0.5000 0.5000 0.0000 1
O2 O 0.0000 0.0000 0.0000 1

Entry 4:
# GGA-PBE NdScAsO, relaxed
# - total magnetic moment (μB per atom) = 0.110
# - density of states at the Fermi level (states/eV/f.u.) = 1.91
# - raw formation energy (meV per atom) = -2031.1
# - E (eV/atom) = -7.2079
# - SG = P4/nmm (129)
data_NdScAsO
_space_group_name_H-M_alt 'P 1'
_space_group_IT_number 1
_cell_length_a 4.2802
_cell_length_b 4.2802
_cell_length_c 8.9828
_cell_angle_alpha 90.00
_cell_angle_beta 90.00
_cell_angle_gamma 90.00
loop_
_space_group_symop_operation_xyz
'x,y,z'
loop_
_atom_site_label
_atom_site_type_symbol
_atom_site_fract_x
_atom_site_fract_y
_atom_site_fract_z
_atom_site_occupancy
Nd1 Nd 0.0000 0.5000 0.8816 1
Nd2 Nd 0.5000 0.0000 0.1184 1
Sc1 Sc 0.0000 0.0000 0.5000 1
Sc2 Sc 0.5000 0.5000 0.5000 1
As1 As 0.5000 0.0000 0.6820 1
As2 As 0.0000 0.5000 0.3180 1
O1 O 0.5000 0.5000 0.0000 1
O2 O 0.0000 0.0000 0.0000 1

Entry 5:
# GGA-PBE NdScAs2O8, relaxed
# - total magnetic moment (μB per atom) = 0.000
# - density of states at the Fermi level (states/eV/f.u.) = 0.00
# - raw formation energy (meV per atom) = -2181.4
# - E (eV/atom) = -7.1867
# - SG = P-3m1 (164)
data_NdScAs2O8
_space_group_name_H-M_alt 'P 1'
_space_group_IT_number 1
_cell_length_a 5.4748
_cell_length_b 5.4748
_cell_length_c 6.8851
_cell_angle_alpha 90.00
_cell_angle_beta 90.00
_cell_angle_gamma 120.00
loop_
_space_group_symop_operation_xyz
'x,y,z'
loop_
_atom_site_label
_atom_site_type_symbol
_atom_site_fract_x
_atom_site_fract_y
_atom_site_fract_z
_atom_site_occupancy
Nd1 Nd 0.0000 0.0000 0.5000 1
Sc1 Sc 0.0000 0.0000 0.0000 1
As1 As 0.6667 0.3333 0.2852 1
As2 As 0.3333 0.6667 0.7148 1
O1 O 0.8385 0.1615 0.2069 1
O2 O 0.8385 0.6770 0.2069 1
O3 O 0.3230 0.1615 0.2069 1
O4 O 0.6770 0.8385 0.7931 1
O5 O 0.3333 0.6667 0.4690 1
O6 O 0.6667 0.3333 0.5310 1
O7 O 0.1615 0.8385 0.7931 1
O8 O 0.1615 0.3230 0.7931 1

Entry 6:
# GGA-PBE NdSmAs2O8, relaxed
# - total magnetic moment (μB per atom) = 0.000
# - density of states at the Fermi level (states/eV/f.u.) = 0.00
# - raw formation energy (meV per atom) = -2324.8
# - E (eV/atom) = -7.1958
# - SG = I-4 (82)
data_NdSmAs2O8
_space_group_name_H-M_alt 'P 1'
_space_group_IT_number 1
_cell_length_a 5.1493
_cell_length_b 5.1493
_cell_length_c 6.8769
_cell_angle_alpha 111.99
_cell_angle_beta 111.99
_cell_angle_gamma 90.00
loop_
_space_group_symop_operation_xyz
'x,y,z'
loop_
_atom_site_label
_atom_site_type_symbol
_atom_site_fract_x
_atom_site_fract_y
_atom_site_fract_z
_atom_site_occupancy
Nd1 Nd 0.0000 0.0000 0.0000 1
Sm1 Sm 0.7500 0.2500 0.5000 1
As1 As 0.5000 0.5000 0.0000 1
As2 As 0.2500 0.7500 0.5000 1
O1 O 0.7168 0.8275 0.1572 1
O2 O 0.4405 0.3298 0.1572 1
O3 O 0.5759 0.6850 0.6546 1
O4 O 0.0786 0.9696 0.6546 1
O5 O 0.0304 0.4241 0.3454 1
O6 O 0.3150 0.9214 0.3454 1
O7 O 0.1725 0.5595 0.8428 1
O8 O 0.6702 0.2832 0.8428 1

Entry 7:
# GGA-PBE NdSmAsO2, relaxed
# - total magnetic moment (μB per atom) = 0.000
# - density of states at the Fermi level (states/eV/f.u.) = 2.40
# - raw formation energy (meV per atom) = -2577.0
# - E (eV/atom) = -7.3875
# - SG = I4mm (107)
data_NdSmAsO2
_space_group_name_H-M_alt 'P 1'
_space_group_IT_number 1
_cell_length_a 3.9101
_cell_length_b 3.9101
_cell_length_c 7.1778
_cell_angle_alpha 105.81
_cell_angle_beta 105.81
_cell_angle_gamma 90.00
loop_
_space_group_symop_operation_xyz
'x,y,z'
loop_
_atom_site_label
_atom_site_type_symbol
_atom_site_fract_x
_atom_site_fract_y
_atom_site_fract_z
_atom_site_occupancy
Nd1 Nd 0.8425 0.8425 0.6849 1
Sm1 Sm 0.1594 0.1594 0.3187 1
As1 As 0.5011 0.5011 0.0021 1
O1 O 0.7486 0.2486 0.4971 1
O2 O 0.2486 0.7486 0.4971 1

Entry 8:
# GGA-PBE Sr2Nd4As3O2, relaxed
# - total magnetic moment (μB per atom) = 0.000
# - density of states at the Fermi level (states/eV/f.u.) = 2.37
# - raw formation energy (meV per atom) = -1784.9
# - E (eV/atom) = -5.9940
# - SG = I4/mmm (139)
data_Sr2Nd4As3O2
_space_group_name_H-M_alt 'P 1'
_space_group_IT_number 1
_cell_length_a 4.7604
_cell_length_b 4.7604
_cell_length_c 12.7795
_cell_angle_alpha 100.73
_cell_angle_beta 100.73
_cell_angle_gamma 90.00
loop_
_space_group_symop_operation_xyz
'x,y,z'
loop_
_atom_site_label
_atom_site_type_symbol
_atom_site_fract_x
_atom_site_fract_y
_atom_site_fract_z
_atom_site_occupancy
Sr1 Sr 0.3011 0.3011 0.6023 1
Sr2 Sr 0.6989 0.6989 0.3977 1
Nd1 Nd 0.4216 0.9216 0.8432 1
Nd2 Nd 0.9216 0.4216 0.8432 1
Nd3 Nd 0.0784 0.5784 0.1568 1
Nd4 Nd 0.5784 0.0784 0.1568 1
As1 As 0.0000 0.0000 0.0000 1
As2 As 0.1698 0.1698 0.3397 1
As3 As 0.8302 0.8302 0.6603 1
O1 O 0.4016 0.4016 0.8031 1
O2 O 0.5984 0.5984 0.1969 1

Entry 9:
# GGA-PBE TbNdAs2O8, relaxed
# - total magnetic moment (μB per atom) = 0.000
# - density of states at the Fermi level (states/eV/f.u.) = 0.00
# - raw formation energy (meV per atom) = -2332.9
# - E (eV/atom) = -7.1965
# - SG = I-4 (82)
data_TbNdAs2O8
_space_group_name_H-M_alt 'P 1'
_space_group_IT_number 1
_cell_length_a 5.1183
_cell_length_b 5.1183
_cell_length_c 6.8229
_cell_angle_alpha 112.03
_cell_angle_beta 112.03
_cell_angle_gamma 90.00
loop_
_space_group_symop_operation_xyz
'x,y,z'
loop_
_atom_site_label
_atom_site_type_symbol
_atom_site_fract_x
_atom_site_fract_y
_atom_site_fract_z
_atom_site_occupancy
Tb1 Tb 0.0000 0.0000 0.0000 1
Nd1 Nd 0.7500 0.2500 0.5000 1
As1 As 0.5000 0.5000 0.0000 1
As2 As 0.2500 0.7500 0.5000 1
O1 O 0.7245 0.8263 0.1532 1
O2 O 0.4287 0.3269 0.1532 1
O3 O 0.5800 0.6917 0.6597 1
O4 O 0.0797 0.9679 0.6597 1
O5 O 0.0321 0.4200 0.3403 1
O6 O 0.3083 0.9203 0.3403 1
O7 O 0.1737 0.5713 0.8468 1
O8 O 0.6731 0.2755 0.8468 1

Entry 10:
# GGA-PBE NdTlAs2O8, relaxed
# - total magnetic moment (μB per atom) = 0.000
# - raw formation energy (meV per atom) = -1622.2
# - E (eV/atom) = -6.2971
# - SG = I-4 (82)
data_NdTlAs2O8
_space_group_name_H-M_alt 'P 1'
_space_group_IT_number 1
_cell_length_a 5.1020
_cell_length_b 5.1020
_cell_length_c 6.9059
_cell_angle_alpha 111.68
_cell_angle_beta 111.68
_cell_angle_gamma 90.00
loop_
_space_group_symop_operation_xyz
'x,y,z'
loop_
_atom_site_label
_atom_site_type_symbol
_atom_site_fract_x
_atom_site_fract_y
_atom_site_fract_z
_atom_site_occupancy
Nd1 Nd 0.7500 0.2500 0.5000 1
Tl1 Tl 0.0000 0.0000 0.0000 1
As1 As 0.5000 0.5000 0.0000 1
As2 As 0.2500 0.7500 0.5000 1
O1 O 0.7265 0.8265 0.1544 1
O2 O 0.4280 0.3279 0.1544 1
O3 O 0.5754 0.6815 0.6555 1
O4 O 0.0801 0.9740 0.6555 1
O5 O 0.0260 0.4246 0.3445 1
O6 O 0.3185 0.9199 0.3445 1
O7 O 0.1735 0.5720 0.8456 1
O8 O 0.6721 0.2735 0.8456 1

Entry 11:
# GGA-PBE NdTmAs2O8, relaxed
# - total magnetic moment (μB per atom) = 0.000
# - density of states at the Fermi level (states/eV/f.u.) = 0.00
# - raw formation energy (meV per atom) = -2331.7
# - E (eV/atom) = -7.1820
# - SG = I-4 (82)
data_NdTmAs2O8
_space_group_name_H-M_alt 'P 1'
_space_group_IT_number 1
_cell_length_a 5.0853
_cell_length_b 5.0853
_cell_length_c 6.7688
_cell_angle_alpha 112.06
_cell_angle_beta 112.06
_cell_angle_gamma 90.00
loop_
_space_group_symop_operation_xyz
'x,y,z'
loop_
_atom_site_label
_atom_site_type_symbol
_atom_site_fract_x
_atom_site_fract_y
_atom_site_fract_z
_atom_site_occupancy
Nd1 Nd 0.7500 0.2500 0.5000 1
Tm1 Tm 0.0000 0.0000 0.0000 1
As1 As 0.5000 0.5000 0.0000 1
As2 As 0.2500 0.7500 0.5000 1
O1 O 0.7292 0.8270 0.1516 1
O2 O 0.4224 0.3246 0.1516 1
O3 O 0.5827 0.6931 0.6621 1
O4 O 0.0795 0.9690 0.6621 1
O5 O 0.0310 0.4173 0.3379 1
O6 O 0.3069 0.9205 0.3379 1
O7 O 0.1730 0.5776 0.8484 1
O8 O 0.6754 0.2708 0.8484 1